Tb4Nd2Dy7: relaxed, GGA-PBE.

The value obtained for the energy of formation is 0.175 eV/atom. The density of states at the Fermi level comes out at 1.386 states/eV/atom.

It has space group P-31m (No. 162), with a = 6.0861 Å, b = 6.0861 Å, c = 13.3568 Å, α = 90.00°, β = 90.00° and γ = 120.00°. The distinct sites, in fractional coordinates, are Tb at (0.0000, 0.0000, 0.1054), Tb at (0.3333, 0.6667, 0.0000), Nd at (0.3333, 0.6667, 0.5000), Dy at (0.0000, 0.0000, 0.5000) and Dy at (0.0000, 0.3540, 0.7167).